Record 1
This record from Alexandria describes a relaxed structure of TaVPd4. The functional is PBE.

Geometry as CIF:
```
data_TaVPd4
_symmetry_space_group_name_H-M 'P 1'
_symmetry_Int_Tables_number 1
_cell_length_a 5.3428
_cell_length_b 5.2715
_cell_length_c 7.6226
_cell_angle_alpha 90.00
_cell_angle_beta 90.00
_cell_angle_gamma 61.98
loop_
_symmetry_equiv_pos_as_xyz
'x,y,z'
loop_
_atom_site_label
_atom_site_type_symbol
_atom_site_fract_x
_atom_site_fract_y
_atom_site_fract_z
_atom_site_occupancy
Pd1 Pd 0.7459 0.9961 0.5669 1
Pd2 Pd 0.2541 0.5039 0.9331 1
V1 V 0.5000 0.2500 0.2500 1
Pd3 Pd 0.7459 0.9961 0.9331 1
V2 V 0.5000 0.7500 0.7500 1
Ta1 Ta 0.0000 0.7500 0.2500 1
Pd4 Pd 0.2541 0.5039 0.5669 1
Pd5 Pd 0.7459 0.4961 0.0669 1
Ta2 Ta 0.0000 0.2500 0.7500 1
Pd6 Pd 0.2541 0.0039 0.0669 1
Pd7 Pd 0.2541 0.0039 0.4331 1
Pd8 Pd 0.7459 0.4961 0.4331 1
```

The value obtained for the calculated total energy is -85.60 eV/cell. The energy relative to the elements comes out at -4.1 kcal/mol of atoms. Its density is 11.523 g/cm³. For the magnetic moment, the calculation gives 0.00 Bohr magnetons per cell.

Record 2
This record from Alexandria describes a relaxed structure of CaNdCdPd. The functional is PBE.

Geometry as CIF:
```
data_CaNdCdPd
_symmetry_space_group_name_H-M 'P 1'
_symmetry_Int_Tables_number 1
_cell_length_a 5.2322
_cell_length_b 5.2322
_cell_length_c 5.2322
_cell_angle_alpha 60.00
_cell_angle_beta 60.00
_cell_angle_gamma 60.00
loop_
_symmetry_equiv_pos_as_xyz
'x,y,z'
loop_
_atom_site_label
_atom_site_type_symbol
_atom_site_fract_x
_atom_site_fract_y
_atom_site_fract_z
_atom_site_occupancy
Pd1 Pd 0.2500 0.2500 0.2500 1
Cd1 Cd 0.7500 0.7500 0.7500 1
Ca1 Ca 0.0000 0.0000 0.0000 1
Nd1 Nd 0.5000 0.5000 0.5000 1
```

The value obtained for the calculated total energy is -14.85 eV/cell. The energy relative to the elements comes out at -11.4 kcal/mol of atoms. Its density is 6.610 g/cm³. For the magnetic moment, the calculation gives 0.00 Bohr magnetons per cell.

Record 3
This record from Alexandria describes a relaxed structure of TlAgTe. The functional is PBE.

Geometry as CIF:
```
data_TlAgTe
_symmetry_space_group_name_H-M 'P 1'
_symmetry_Int_Tables_number 1
_cell_length_a 4.7131
_cell_length_b 4.7131
_cell_length_c 8.1206
_cell_angle_alpha 90.00
_cell_angle_beta 90.00
_cell_angle_gamma 90.00
loop_
_symmetry_equiv_pos_as_xyz
'x,y,z'
loop_
_atom_site_label
_atom_site_type_symbol
_atom_site_fract_x
_atom_site_fract_y
_atom_site_fract_z
_atom_site_occupancy
Tl1 Tl 0.5000 0.0000 0.1671 1
Ag1 Ag 0.5000 0.5000 0.5000 1
Te1 Te 0.5000 0.0000 0.7159 1
Ag2 Ag 0.0000 0.0000 0.5000 1
Te2 Te 0.0000 0.5000 0.2841 1
Tl2 Tl 0.0000 0.5000 0.8329 1
```

The value obtained for the calculated total energy is -17.97 eV/cell. Its density is 8.098 g/cm³. For the magnetic moment, the calculation gives 0.00 Bohr magnetons per cell. The formation energy (no corrections) is -0.208 eV per atom.

Record 4
This record from Alexandria describes a relaxed structure of ZnMoBr2. The functional is PBE.

Geometry as CIF:
```
data_ZnMoBr2
_symmetry_space_group_name_H-M 'P 1'
_symmetry_Int_Tables_number 1
_cell_length_a 3.4021
_cell_length_b 3.6557
_cell_length_c 8.1558
_cell_angle_alpha 76.79
_cell_angle_beta 90.00
_cell_angle_gamma 90.00
loop_
_symmetry_equiv_pos_as_xyz
'x,y,z'
loop_
_atom_site_label
_atom_site_type_symbol
_atom_site_fract_x
_atom_site_fract_y
_atom_site_fract_z
_atom_site_occupancy
Br1 Br 0.5000 0.3974 0.3365 1
Br2 Br 0.0000 0.1093 0.9013 1
Mo1 Mo 0.0000 0.2752 0.5752 1
Zn1 Zn 0.5000 0.7181 0.6870 1
```

The value obtained for the calculated total energy is -15.54 eV/cell. Its density is 5.401 g/cm³. For the magnetic moment, the calculation gives 0.20 Bohr magnetons per cell. The formation energy (no corrections) is -0.022 eV per atom.

Record 5
This record from Alexandria describes a relaxed structure of GdSnHgAu. The functional is PBE.

Geometry as CIF:
```
data_GdSnHgAu
_symmetry_space_group_name_H-M 'P 1'
_symmetry_Int_Tables_number 1
_cell_length_a 5.1084
_cell_length_b 5.1084
_cell_length_c 5.1084
_cell_angle_alpha 60.00
_cell_angle_beta 60.00
_cell_angle_gamma 60.00
loop_
_symmetry_equiv_pos_as_xyz
'x,y,z'
loop_
_atom_site_label
_atom_site_type_symbol
_atom_site_fract_x
_atom_site_fract_y
_atom_site_fract_z
_atom_site_occupancy
Au1 Au 0.7500 0.7500 0.7500 1
Gd1 Gd 0.0000 0.0000 0.0000 1
Hg1 Hg 0.2500 0.2500 0.2500 1
Sn1 Sn 0.5000 0.5000 0.5000 1
```

The value obtained for the calculated total energy is -23.77 eV/cell. The energy relative to the elements comes out at -12.1 kcal/mol of atoms. Its density is 11.865 g/cm³. For the magnetic moment, the calculation gives 7.03 Bohr magnetons per cell.

Record 6
This record from Alexandria describes a relaxed structure of Zn5Cu4Rh. The functional is PBE.

Geometry as CIF:
```
data_Zn5Cu4Rh
_symmetry_space_group_name_H-M 'P 1'
_symmetry_Int_Tables_number 1
_cell_length_a 3.0056
_cell_length_b 3.0056
_cell_length_c 14.6232
_cell_angle_alpha 90.00
_cell_angle_beta 90.00
_cell_angle_gamma 90.00
loop_
_symmetry_equiv_pos_as_xyz
'x,y,z'
loop_
_atom_site_label
_atom_site_type_symbol
_atom_site_fract_x
_atom_site_fract_y
_atom_site_fract_z
_atom_site_occupancy
Rh1 Rh 0.0000 0.0000 0.0000 1
Zn1 Zn 0.5000 0.5000 0.5000 1
Cu1 Cu 0.0000 0.0000 0.4008 1
Cu2 Cu 0.0000 0.0000 0.2035 1
Zn2 Zn 0.5000 0.5000 0.1029 1
Zn3 Zn 0.5000 0.5000 0.6973 1
Zn4 Zn 0.5000 0.5000 0.3027 1
Cu3 Cu 0.0000 0.0000 0.7965 1
Zn5 Zn 0.5000 0.5000 0.8971 1
Cu4 Cu 0.0000 0.0000 0.5992 1
```

The value obtained for the calculated total energy is -31.70 eV/cell. The energy relative to the elements comes out at -3.7 kcal/mol of atoms. Its density is 8.600 g/cm³. For the magnetic moment, the calculation gives 0.00 Bohr magnetons per cell.

Record 7
This record from Alexandria describes a relaxed structure of Rb2AsRuI6. The functional is PBE.

Geometry as CIF:
```
data_Rb2AsRuI6
_symmetry_space_group_name_H-M 'P 1'
_symmetry_Int_Tables_number 1
_cell_length_a 8.1356
_cell_length_b 8.1356
_cell_length_c 8.1398
_cell_angle_alpha 60.02
_cell_angle_beta 60.02
_cell_angle_gamma 90.00
loop_
_symmetry_equiv_pos_as_xyz
'x,y,z'
loop_
_atom_site_label
_atom_site_type_symbol
_atom_site_fract_x
_atom_site_fract_y
_atom_site_fract_z
_atom_site_occupancy
Rb1 Rb 0.7500 0.2500 0.5000 1
As1 As 0.5000 0.5000 0.0000 1
I1 I 0.2416 0.2416 0.5168 1
I2 I 0.2422 0.7578 0.0000 1
I3 I 0.2422 0.2422 0.0000 1
Ru1 Ru 0.0000 0.0000 0.0000 1
I4 I 0.7584 0.7584 0.4832 1
Rb2 Rb 0.2500 0.7500 0.5000 1
I5 I 0.7578 0.2422 0.0000 1
I6 I 0.7578 0.7578 0.0000 1
```

The value obtained for the calculated total energy is -29.73 eV/cell. Its density is 4.829 g/cm³. For the magnetic moment, the calculation gives 1.70 Bohr magnetons per cell. The formation energy (no corrections) is -0.457 eV per atom.

Record 8
This record from Alexandria describes a relaxed structure of CrSi2Ag. The functional is PBE.

Geometry as CIF:
```
data_CrSi2Ag
_symmetry_space_group_name_H-M 'P 1'
_symmetry_Int_Tables_number 1
_cell_length_a 4.9546
_cell_length_b 4.9546
_cell_length_c 4.9546
_cell_angle_alpha 136.50
_cell_angle_beta 136.50
_cell_angle_gamma 63.20
loop_
_symmetry_equiv_pos_as_xyz
'x,y,z'
loop_
_atom_site_label
_atom_site_type_symbol
_atom_site_fract_x
_atom_site_fract_y
_atom_site_fract_z
_atom_site_occupancy
Si1 Si 0.0000 0.0000 0.0000 1
Ag1 Ag 0.5000 0.5000 0.0000 1
Cr1 Cr 0.7500 0.2500 0.5000 1
Si2 Si 0.2500 0.7500 0.5000 1
```

The value obtained for the calculated total energy is -22.31 eV/cell. Its density is 6.306 g/cm³. For the magnetic moment, the calculation gives 1.76 Bohr magnetons per cell. The formation energy (no corrections) is 0.253 eV per atom.

Record 9
This record from Alexandria describes a relaxed structure of Ac2SnPdPt6. The functional is PBE.

Geometry as CIF:
```
data_Ac2SnPdPt6
_symmetry_space_group_name_H-M 'P 1'
_symmetry_Int_Tables_number 1
_cell_length_a 7.0486
_cell_length_b 6.8784
_cell_length_c 9.1051
_cell_angle_alpha 49.98
_cell_angle_beta 48.37
_cell_angle_gamma 80.44
loop_
_symmetry_equiv_pos_as_xyz
'x,y,z'
loop_
_atom_site_label
_atom_site_type_symbol
_atom_site_fract_x
_atom_site_fract_y
_atom_site_fract_z
_atom_site_occupancy
Ac1 Ac 0.2324 0.7675 0.4597 1
Pt1 Pt 0.2543 0.2567 0.4989 1
Pt2 Pt 0.7436 0.7451 0.0101 1
Pt3 Pt 0.7457 0.7433 0.5011 1
Pt4 Pt 0.7469 0.2518 0.1622 1
Pt5 Pt 0.2564 0.2549 0.9899 1
Sn1 Sn 0.0000 0.0000 0.0000 1
Pt6 Pt 0.2531 0.7482 0.8378 1
Pd1 Pd 0.5000 0.5000 0.0000 1
Ac2 Ac 0.7676 0.2325 0.5403 1
```

The value obtained for the calculated total energy is -61.36 eV/cell. The energy relative to the elements comes out at -17.8 kcal/mol of atoms. Its density is 13.660 g/cm³. For the magnetic moment, the calculation gives 0.00 Bohr magnetons per cell.

Record 10
This record from Alexandria describes a relaxed structure of Y8Ge3Te4C. The functional is PBE.

Geometry as CIF:
```
data_Y8Ge3Te4C
_symmetry_space_group_name_H-M 'P 1'
_symmetry_Int_Tables_number 1
_cell_length_a 8.3143
_cell_length_b 8.5577
_cell_length_c 8.3143
_cell_angle_alpha 119.07
_cell_angle_beta 120.00
_cell_angle_gamma 90.00
loop_
_symmetry_equiv_pos_as_xyz
'x,y,z'
loop_
_atom_site_label
_atom_site_type_symbol
_atom_site_fract_x
_atom_site_fract_y
_atom_site_fract_z
_atom_site_occupancy
Y1 Y 0.7586 0.7060 0.9823 1
Y2 Y 0.7760 0.2937 0.5519 1
Te1 Te 0.5000 0.0000 0.0000 1
Te2 Te 0.0000 0.0000 0.5000 1
Te3 Te 0.5000 0.0000 0.5000 1
Y3 Y 0.7410 0.7231 0.4821 1
Y4 Y 0.2240 0.7063 0.4481 1
Y5 Y 0.7763 0.2940 0.0177 1
Y6 Y 0.2237 0.7060 0.9823 1
Ge1 Ge 0.5000 0.5000 0.5000 1
Y7 Y 0.2414 0.2940 0.0177 1
Ge2 Ge 0.0000 0.5000 0.5000 1
Ge3 Ge 0.5000 0.5000 0.0000 1
C1 C 0.0000 0.5000 0.0000 1
Y8 Y 0.2590 0.2769 0.5179 1
Te4 Te 0.0000 0.0000 0.0000 1
```

The value obtained for the calculated total energy is -104.84 eV/cell. Its density is 5.684 g/cm³. For the magnetic moment, the calculation gives 0.00 Bohr magnetons per cell. The formation energy (no corrections) is -1.093 eV per atom.

Record 11
This record from Alexandria describes a relaxed structure of BaZrAs2. The functional is PBE.

Geometry as CIF:
```
data_BaZrAs2
_symmetry_space_group_name_H-M 'P 1'
_symmetry_Int_Tables_number 1
_cell_length_a 3.4793
_cell_length_b 3.6012
_cell_length_c 7.7965
_cell_angle_alpha 90.00
_cell_angle_beta 90.00
_cell_angle_gamma 90.00
loop_
_symmetry_equiv_pos_as_xyz
'x,y,z'
loop_
_atom_site_label
_atom_site_type_symbol
_atom_site_fract_x
_atom_site_fract_y
_atom_site_fract_z
_atom_site_occupancy
Ba1 Ba 0.5000 0.5000 0.2500 1
As1 As 0.0000 0.0000 0.5507 1
Zr1 Zr 0.5000 0.5000 0.7500 1
As2 As 0.0000 0.0000 0.9493 1
```

The value obtained for the calculated total energy is -22.95 eV/cell. The energy relative to the elements comes out at -18.4 kcal/mol of atoms. Its density is 6.432 g/cm³. For the magnetic moment, the calculation gives 0.00 Bohr magnetons per cell.

Record 12
This record from Alexandria describes a relaxed structure of K4U3SnSe8. The functional is PBE.

Geometry as CIF:
```
data_K4U3SnSe8
_symmetry_space_group_name_H-M 'P 1'
_symmetry_Int_Tables_number 1
_cell_length_a 8.6266
_cell_length_b 9.1038
_cell_length_c 8.6268
_cell_angle_alpha 118.30
_cell_angle_beta 120.00
_cell_angle_gamma 90.00
loop_
_symmetry_equiv_pos_as_xyz
'x,y,z'
loop_
_atom_site_label
_atom_site_type_symbol
_atom_site_fract_x
_atom_site_fract_y
_atom_site_fract_z
_atom_site_occupancy
Se1 Se 0.2648 0.2944 0.5295 1
Se2 Se 0.2414 0.7060 0.9647 1
Sn1 Sn 0.0000 0.5000 0.0000 1
K1 K 0.0000 0.0000 0.5000 1
Se3 Se 0.7234 0.7060 0.9647 1
Se4 Se 0.7352 0.7056 0.4705 1
K2 K 0.0000 0.0000 0.0000 1
K3 K 0.5000 0.0000 0.0000 1
Se5 Se 0.2414 0.7060 0.4827 1
U1 U 0.5000 0.5000 0.0000 1
Se6 Se 0.7586 0.2940 0.0353 1
U2 U 0.5000 0.5000 0.5000 1
Se7 Se 0.2766 0.2940 0.0353 1
U3 U 0.0000 0.5000 0.5000 1
K4 K 0.5000 0.0000 0.5000 1
Se8 Se 0.7586 0.2940 0.5173 1
```

The value obtained for the calculated total energy is -88.74 eV/cell. Its density is 5.481 g/cm³. For the magnetic moment, the calculation gives 8.00 Bohr magnetons per cell. The formation energy (no corrections) is -1.163 eV per atom.